CaSe3I | PBE | relaxed

Calculated values
- crystal system = cubic
- formation energy from raw total energies (eV per formula unit) = -0.31
- D(E_F) (states/eV/f.u.) = 3.915
- total DFT energy (no corrections) (Ha/atom) = -0.105

abc: 5.405 5.405 5.405
angles: 90.00 90.00 90.00
Atoms (fractional coordinates):
Se: 0.500 0.000 0.000
Se: 0.000 0.000 0.500
Se: 0.000 0.500 0.000
I: 0.000 0.000 0.000
Ca: 0.500 0.500 0.500

CeSm2Y9 | PBE | relaxed

Calculated values
- crystal system = tetragonal
- formation enthalpy at 0 K (meV per atom) = 40
- D(E_F) (states/eV/f.u.) = 19.039
- total DFT energy (no corrections) (Ha/atom) = -0.224

abc: 5.069 5.069 15.189
angles: 90.00 90.00 90.00
Site moments in Bohr magnetons follow the coordinates.
Atoms (fractional coordinates):
Y: 0.000 0.500 0.835  0.01
Y: 0.500 0.000 0.500  0.02
Sm: 0.000 0.000 0.668  -0.03
Y: 0.500 0.500 0.000  0.04
Sm: 0.000 0.000 0.332  -0.03
Y: 0.500 0.000 0.165  0.01
Y: 0.500 0.000 0.835  0.01
Y: 0.000 0.500 0.165  0.01
Y: 0.500 0.500 0.334  -0.02
Y: 0.500 0.500 0.666  -0.02
Y: 0.000 0.500 0.500  0.02
Ce: 0.000 0.000 0.000  0.75

NpAl3Ga | PBE | relaxed

Calculated values
- crystal system = cubic
- formation enthalpy at 0 K (meV per atom) = 558
- D(E_F) (states/eV/f.u.) = 14.940
- total DFT energy (no corrections) (Ha/atom) = -0.179

abc: 4.830 4.831 4.831
angles: 90.00 90.00 90.00
Site moments in Bohr magnetons follow the coordinates.
Atoms (fractional coordinates):
Ga: 0.000 0.500 0.500  -0.02
Al: 0.000 0.000 0.500  -0.01
Al: 0.000 0.500 0.000  -0.01
Np: 0.500 0.000 0.000  4.08
Al: 0.500 0.500 0.500  -0.01

Sm3Sc4Bi4 | PBE | relaxed

Calculated values
- crystal system = orthorhombic
- formation enthalpy at 0 K (meV per atom) = -595
- D(E_F) (states/eV/f.u.) = 11.151
- total DFT energy (no corrections) (Ha/atom) = -0.206

abc: 4.278 9.191 9.410
angles: 119.23 103.14 90.00
Atoms (fractional coordinates):
Sm: 0.885 0.885 0.770
Sm: 0.115 0.115 0.230
Sc: 0.322 0.120 0.645
Bi: 0.500 0.211 0.000
Sc: 0.678 0.475 0.355
Bi: 0.772 0.272 0.543
Sm: 0.000 0.500 0.000
Bi: 0.500 0.789 0.000
Sc: 0.678 0.880 0.355
Sc: 0.322 0.525 0.645
Bi: 0.228 0.728 0.457